Computed, not measured: crystalline Li4In2Ga3 at its relaxed geometry at the PBE-GGA level of DFT.

- Formation enthalpy at 0 K: -234 meV per atom

abc: 9.3996 4.2413 8.7888
angles: 90.00 110.72 90.00
With the nearest neighbours (Å) after each atom.
Space group C2/m (No. 12)
Symmetry-distinct sites (fractional):
Li 0.0145 0.0000 0.3347  6 Ga 2.83-3.03, 3 In 2.93-2.98, 3 Li 2.96-3.01
Li 0.1605 0.5000 0.8878  4 In 2.92-3.01, 4 Ga 2.95-2.99, 4 Li 2.96-2.98
In 0.1819 0.5000 0.2279  7 Li 2.92-3.01, 5 Ga 2.93-3.00
Ga 0.0000 0.0000 0.0000  8 Li 2.90-2.99, 4 In 3.00
Ga 0.1530 0.5000 0.5492  1 Ga 2.69, 4 Li 2.83-2.95, 3 In 2.93